# 1
Entry from the Alexandria database: an optimized crystal structure of Cu2RhSe (PBEsol).

The structure in CIF format:
```
data_Cu2RhSe
_chemical_formula_sum 'Cu4 Rh2 Se2'
_cell_length_a 3.714
_cell_length_b 3.803
_cell_length_c 7.541
_cell_angle_alpha 90.00
_cell_angle_beta 90.00
_cell_angle_gamma 90.00
_space_group_name_H-M_alt 'I m m 2'
_space_group_IT_number 44
loop_
_space_group_symop_operation_xyz
'x,y,z'
'-x,-y,z'
'-x,y,z'
'x,-y,z'
'x+1/2,y+1/2,z+1/2'
'-x+1/2,-y+1/2,z+1/2'
'-x+1/2,y+1/2,z+1/2'
'x+1/2,-y+1/2,z+1/2'
loop_
_atom_site_label
_atom_site_fract_x
_atom_site_fract_y
_atom_site_fract_z
_atom_site_occupancy
Cu1 0.000 0.000 0.000 1
Cu2 0.000 0.500 0.241 1
Rh1 0.000 0.500 0.756 1
Se1 0.000 0.000 0.493 1
```

Results
The value obtained for the uncorrected formation energy is 88.9 meV per atom. For the calculated density, the calculation gives 9.6 g/cm3. For the density of states at the Fermi level, the calculation gives 3.60 states/eV/f.u.

# 2
Entry from the Alexandria database: an optimized crystal structure of Y3GePd (PBEsol).

The structure in CIF format:
```
data_Y3GePd
_chemical_formula_sum 'Y3 Ge1 Pd1'
_cell_length_a 5.289
_cell_length_b 5.289
_cell_length_c 5.289
_cell_angle_alpha 90.00
_cell_angle_beta 90.00
_cell_angle_gamma 90.00
_space_group_name_H-M_alt 'P m -3 m'
_space_group_IT_number 221
_space_group_name_Hall '-P 4 2 3'
loop_
_atom_site_label
_atom_site_fract_x
_atom_site_fract_y
_atom_site_fract_z
_atom_site_occupancy
Y1 0.000 0.000 0.500 1
Ge1 0.000 0.000 0.000 1
Pd1 0.500 0.500 0.500 1
```

Results
The calculation puts the formation energy from the elements at 0.0428 eV/atom. For the calculated density, the calculation gives 5.0 g/cm3. For the density of states at the Fermi level, the calculation gives 8.43 states/eV/f.u.

# 3
Entry from the Alexandria database: an optimized crystal structure of K2AgSb (PBEsol).

The structure in CIF format:
```
data_K2AgSb
_chemical_formula_sum 'K4 Ag2 Sb2'
_cell_length_a 4.873
_cell_length_b 5.908
_cell_length_c 9.321
_cell_angle_alpha 90.00
_cell_angle_beta 90.00
_cell_angle_gamma 90.00
_space_group_name_H-M_alt 'I m m 2'
_space_group_IT_number 44
loop_
_space_group_symop_operation_xyz
'x,y,z'
'-x,-y,z'
'-x,y,z'
'x,-y,z'
'x+1/2,y+1/2,z+1/2'
'-x+1/2,-y+1/2,z+1/2'
'-x+1/2,y+1/2,z+1/2'
'x+1/2,-y+1/2,z+1/2'
loop_
_atom_site_label
_atom_site_fract_x
_atom_site_fract_y
_atom_site_fract_z
_atom_site_occupancy
K1 0.000 0.000 0.000 1
K2 0.000 0.500 0.191 1
Ag1 0.000 0.000 0.391 1
Sb1 0.000 0.500 0.784 1
```

Results
The value obtained for the uncorrected formation energy is -277.7 meV per atom. For the calculated density, the calculation gives 3.8 g/cm3.